## LaCrBr6 (PBE)

Data for a relaxed structure of LaCrBr6.

Cell: 6.8691 6.8691 18.8183 Å, 90.00 90.00 120.00°
Space group R-3 (No. 148, hexagonal axes)
Inequivalent atoms, fractional coordinates:
La: 0.0000 0.0000 0.0000 (multiplicity 3)
Cr: 0.0000 0.0000 0.5000 (multiplicity 3)
Br: 0.0090 0.7019 0.4230 (multiplicity 18)

Summary:
Energy relative to the elements, uncorrected, eV per atom: -1.27

---

## KSbP (PBE)

Data for a relaxed structure of KSbP.

Cell: 5.1974 4.6552 8.0919 Å, 90.00 90.00 90.00°
Space group Amm2 (No. 38)
Inequivalent atoms, fractional coordinates:
K: 0.0000 0.0000 0.0000 (multiplicity 2)
Sb: 0.5000 0.0000 0.6666 (multiplicity 2)
P: 0.5000 0.0000 0.3336 (multiplicity 2)

Summary:
Energy relative to the elements, uncorrected, eV per atom: -0.14

---

## TiInReSn2 (PBE)

Data for a relaxed structure of TiInReSn2.

Cell: 5.3486 5.3486 5.1698 Å, 90.00 90.00 90.00°
Space group P4/mmm (No. 123)
Inequivalent atoms, fractional coordinates:
Ti: 0.0000 0.0000 0.0000 (multiplicity 1)
In: 0.0000 0.0000 0.5000 (multiplicity 1)
Re: 0.5000 0.5000 0.0000 (multiplicity 1)
Sn: 0.0000 0.5000 0.5000 (multiplicity 2)

Summary:
Electronic total energy, eV/atom: -4.3580